(1)
Material: CdH4CN2Cl2O
Method: DFT, GGA-PBE
State: optimized geometry

The space group is P-1 (No. 2) and the conventional cell measures 3.869, 8.251 and 10.640 Å, with angles of 73.05, 79.88 and 81.80 degrees. Symmetry generates all atoms from Cd at (0.208, 0.385, 0.177), H at (0.065, 0.854, 0.507), H at (0.303, 0.715, 0.418), H at (0.418, 0.964, 0.866), H at (0.436, 0.183, 0.797), C at (0.284, 0.969, 0.316), N at (0.197, 0.835, 0.419), N at (0.469, 0.938, 0.204), Cl at (0.196, 0.694, 0.977), Cl at (0.387, 0.504, 0.702) and O at (0.184, 0.121, 0.325).

As for the density of states at the Fermi level: 0.000 states/eV per atom. The calculation puts the raw total energy at -5.153 eV/atom. Its magnetic moment is 0.0 μB/f.u.



(2)
Material: KPaP
Method: DFT, GGA-PBE
State: optimized geometry

The space group is C2/m (No. 12) and the conventional cell measures 5.552, 5.552 and 13.452 Å, with angles of 90.00, 90.13 and 90.00 degrees. Symmetry generates all atoms from K at (0.247, 0.000, 0.145), Pa at (0.249, 0.500, 0.407) and P at (0.249, 0.000, 0.384).

The energy of formation is -0.599 eV/atom. As for the density of states at the Fermi level: 1.272 states/eV per atom. Its magnetic moment is 0.0 μB/f.u.



(3)
Material: Ca2RuCBr
Method: DFT, GGA-PBE
State: optimized geometry

The space group is P4/mmm (No. 123) and the conventional cell measures 5.533, 5.533 and 3.879 Å, with angles of 90.00, 90.00 and 90.00 degrees. Symmetry generates all atoms from Ca at (0.000, 0.500, 0.000), Ru at (0.000, 0.000, 0.000), C at (0.000, 0.000, 0.500) and Br at (0.500, 0.500, 0.500).

As for the density of states at the Fermi level: 0.552 states/eV per atom. As for the uncorrected formation energy: -0.221 eV/atom. Its magnetic moment is 0.0 μB/f.u.